# SrTa2Rh GGA-PBE optimized geometry
data_SrTa2Rh
_cell_length_a 5.214
_cell_length_b 3.987
_cell_length_c 3.987
_cell_angle_alpha 90.00
_cell_angle_beta 90.00
_cell_angle_gamma 90.00
_space_group_name_H-M_alt 'P 1'
_space_group_IT_number 1
loop_
_space_group_symop_operation_xyz
'x,y,z'
loop_
_atom_site_label
_atom_site_fract_x
_atom_site_fract_y
_atom_site_fract_z
Rh1 0.500 0.500 0.000
Sr1 0.500 0.000 0.500
Ta1 0.000 0.000 0.000
Ta2 0.000 0.500 0.500
# polymorph energy (0 for the lowest one): 0.5264 eV per atom
# ΔE_f: 0.66 eV/atom
# SG: P4/mmm, No. 123